Density functional theory data (PBE) for TmZnGe after structural relaxation.

- ρ (Mg/m³) = 7.81
- total magnetization (μB per atom) = 0.000
- E_form (eV/atom) = -0.353

```
6
Lattice="-4.001 -0.128 -0.931 -2.257 -3.261 1.078 -4.022 2.784 7.834" Properties=species:S:1:pos:R:3 pbc="T T T"
Zn -3.086 0.892 4.070
Zn -7.195 -1.496 3.912
Ge -2.211 -0.877 0.551
Ge -8.070 0.273 7.431
Tm -4.719 -1.155 2.295
Tm -5.562 0.550 5.686
```